[1]
Below is an optimized crystal structure of UAg3I2Br6, with properties calculated at the PBE level.

Properties
Uncorrected formation energy in eV/atom: -0.7220

POSCAR file:
```
UAg3I2Br6
1.0
7.891 -4.178 0.000
7.891 4.178 0.000
-2.060 0.000 6.648
U Ag I Br
1 3 2 6
direct
0.000 0.000 0.000
0.000 0.500 0.000
0.500 0.000 0.000
0.500 0.500 0.500
0.330 0.330 0.253
0.670 0.670 0.747
0.114 0.114 0.770
0.136 0.672 0.763
0.328 0.864 0.237
0.672 0.136 0.763
0.864 0.328 0.237
0.886 0.886 0.230
```

[2]
Below is an optimized crystal structure of VAgIBr2, with properties calculated at the PBE level.

Properties
Uncorrected formation energy in eV/atom: 1.2146

POSCAR file:
```
VAgIBr2
1.0
6.393 0.000 0.000
0.000 6.393 0.000
0.000 0.000 5.125
V Ag I Br
1 1 1 2
direct
0.000 0.000 0.000
0.500 0.500 0.000
0.500 0.500 0.500
0.000 0.500 0.500
0.500 0.000 0.500
```

[3]
Below is an optimized crystal structure of ZnAgIBr2, with properties calculated at the PBE level.

Properties
Uncorrected formation energy in eV/atom: 0.3204

POSCAR file:
```
ZnAgIBr2
1.0
5.938 0.000 0.000
0.000 5.938 0.000
0.000 0.000 5.470
Zn Ag I Br
1 1 1 2
direct
0.000 0.000 0.000
0.500 0.500 0.000
0.500 0.500 0.500
0.000 0.500 0.500
0.500 0.000 0.500
```